ScHgTeO: optimized geometry, GGA-PBE.

abc: 8.3807 6.9632 6.3917
angles: 90.00 90.12 90.00
Last column: nearest neighbours and their distance in Å.
Sites, in units of the cell vectors:
Sc: 0.0126 0.1224 0.2019  3 O 2.00-2.04
Sc: 0.0126 0.3776 0.7019  3 O 2.00-2.04
Sc: 0.9874 0.6224 0.2981  3 O 2.00-2.04
Sc: 0.9874 0.8776 0.7981  3 O 2.00-2.04
Hg: 0.4494 0.6855 0.4921  1 Hg 2.72, 1 Te 2.89
Hg: 0.4494 0.8145 0.9921  1 Hg 2.72, 1 Te 2.89
Hg: 0.5506 0.1855 0.0079  1 Hg 2.72, 1 Te 2.89
Hg: 0.5506 0.3145 0.5079  1 Hg 2.72, 1 Te 2.89
Te: 0.2635 0.0328 0.5372  2 Hg 2.89-3.11, 2 Sc 3.05-3.06
Te: 0.2635 0.4672 0.0372  2 Hg 2.89-3.11, 2 Sc 3.05-3.06
Te: 0.7365 0.5328 0.9628  2 Hg 2.89-3.11, 2 Sc 3.05-3.06
Te: 0.7365 0.9672 0.4628  2 Hg 2.89-3.11, 2 Sc 3.05-3.06
O: 0.0337 0.6553 0.6037  3 Sc 2.00-2.04
O: 0.0337 0.8447 0.1037  3 Sc 2.00-2.04
O: 0.9663 0.1553 0.8963  3 Sc 2.00-2.04
O: 0.9663 0.3447 0.3963  3 Sc 2.00-2.04

Calculated values
Its raw total energy is -84.31 eV/cell. The total magnetization is 0.0 μB per cell. The calculation puts the energy above the most stable polymorph in this dataset at 19 kJ/mol of formula units. As for the symmetry: P2_1/c, No. 14.

ScTlHgO3: optimized geometry, GGA-PBE.

abc: 7.1640 7.1640 8.3093
angles: 90.00 90.00 153.51
Last column: nearest neighbours and their distance in Å.
Sites, in units of the cell vectors:
Sc: 0.0000 0.0000 0.0000  6 O 2.13-2.15
Sc: 0.0000 0.0000 0.5000  6 O 2.13-2.15
Tl: 0.3440 0.6560 0.7500  4 O 2.31-2.43
Tl: 0.6560 0.3440 0.2500  4 O 2.31-2.43
Hg: 0.3254 0.6746 0.2500  2 O 2.17
Hg: 0.6746 0.3254 0.7500  2 O 2.17
O: 0.0398 0.9602 0.2500  2 Sc 2.15, 2 Tl 2.31
O: 0.4042 0.5958 0.0244  2 Sc 2.13, 1 Hg 2.17
O: 0.4042 0.5958 0.4756  2 Sc 2.13, 1 Hg 2.17
O: 0.5958 0.4042 0.5244  2 Sc 2.13, 1 Hg 2.17
O: 0.5958 0.4042 0.9756  2 Sc 2.13, 1 Hg 2.17
O: 0.9602 0.0398 0.7500  2 Sc 2.15, 2 Tl 2.31

Calculated values
Its raw total energy is -67.51 eV/cell. The total magnetization is 0.0 μB per cell. As for the symmetry: Cmcm, No. 63.

Hg2SeO4: optimized geometry, GGA-PBE.

abc: 7.5779 7.5779 5.0553
angles: 104.01 104.01 116.24
Last column: nearest neighbours and their distance in Å.
Sites, in units of the cell vectors:
Hg: 0.0422 0.2454 0.0112  2 O 2.24-2.50
Hg: 0.2454 0.0422 0.5112  2 O 2.24-2.50
Hg: 0.7546 0.9578 0.4888  2 O 2.24-2.50
Hg: 0.9578 0.7546 0.9888  2 O 2.24-2.50
Se: 0.3599 0.6401 0.7500  4 O 1.67-1.70
Se: 0.6401 0.3599 0.2500  4 O 1.67-1.70
O: 0.1714 0.5925 0.8851  1 Se 1.67
O: 0.2831 0.4053 0.4822  1 Se 1.70
O: 0.4053 0.2831 0.9822  1 Se 1.70
O: 0.4075 0.8286 0.6149  1 Se 1.67
O: 0.5925 0.1714 0.3851  1 Se 1.67
O: 0.5947 0.7169 0.0178  1 Se 1.70
O: 0.7169 0.5947 0.5178  1 Se 1.70
O: 0.8286 0.4075 0.1149  1 Se 1.67

Calculated values
Its raw total energy is -54.25 eV/cell. As for the symmetry: C2/c, No. 15.

Hg2SeO: optimized geometry, GGA-PBE.

abc: 3.9276 3.9276 12.8110
angles: 90.00 90.00 120.00
Last column: nearest neighbours and their distance in Å.
Sites, in units of the cell vectors:
Hg: 0.0000 0.0000 0.0000  1 O 2.18
Hg: 0.0000 0.0000 0.5000  1 O 2.18
Hg: 0.3333 0.6667 0.2694  3 O 2.40
Hg: 0.6667 0.3333 0.7694  3 O 2.40
Se: 0.3333 0.6667 0.6192  6 Hg 2.73-2.97
Se: 0.6667 0.3333 0.1192  6 Hg 2.73-2.97
O: 0.0000 0.0000 0.3298  4 Hg 2.18-2.40
O: 0.0000 0.0000 0.8298  4 Hg 2.18-2.40

Calculated values
Its raw total energy is -18.95 eV/cell. The calculation puts the energy above the most stable polymorph in this dataset at 10 kJ/mol of formula units. As for the symmetry: P6_3mc, No. 186.

HgSe2O2: optimized geometry, GGA-PBE.

abc: 3.9007 3.9007 5.5081
angles: 90.00 90.00 90.00
Last column: nearest neighbours and their distance in Å.
Sites, in units of the cell vectors:
Hg: 0.0000 0.0000 0.0000  8 Se 3.19, 8 O 3.37
Se: 0.5000 0.5000 0.2893  4 O 2.27, 1 Se 2.32
Se: 0.5000 0.5000 0.7107  4 O 2.27, 1 Se 2.32
O: 0.0000 0.5000 0.5000  4 Se 2.27
O: 0.5000 0.0000 0.5000  4 Se 2.27

Calculated values
Its raw total energy is -14.64 eV/cell. As for the symmetry: P4/mmm, No. 123.

Hg4Se4O9: optimized geometry, GGA-PBE.

abc: 9.6004 10.2584 14.7480
angles: 90.00 127.57 90.00
Last column: nearest neighbours and their distance in Å.
Sites, in units of the cell vectors:
Hg: 0.0291 0.2170 0.0689  3 O 2.24-2.38
Hg: 0.0291 0.2830 0.5689  3 O 2.24-2.38
Hg: 0.1337 0.5905 0.7419  1 O 2.23
Hg: 0.1337 0.9095 0.2419  1 O 2.23
Hg: 0.1777 0.5448 0.2184  3 O 2.31-2.57, 1 Se 2.56
Hg: 0.1777 0.9552 0.7184  3 O 2.31-2.57, 1 Se 2.56
Hg: 0.4665 0.7102 0.7268  1 O 2.19
Hg: 0.4665 0.7898 0.2268  1 O 2.19
Hg: 0.5335 0.2102 0.7732  1 O 2.19
Hg: 0.5335 0.2898 0.2732  1 O 2.19
Hg: 0.8223 0.0448 0.2816  3 O 2.31-2.57, 1 Se 2.56
Hg: 0.8223 0.4552 0.7816  3 O 2.31-2.57, 1 Se 2.56
Hg: 0.8663 0.0905 0.7581  1 O 2.23
Hg: 0.8663 0.4095 0.2581  1 O 2.23
Hg: 0.9709 0.7170 0.4311  3 O 2.24-2.38
Hg: 0.9709 0.7830 0.9311  3 O 2.24-2.38
Se: 0.2489 0.0263 0.0029  3 O 1.71-1.78
Se: 0.2489 0.4737 0.5029  3 O 1.71-1.78
Se: 0.2802 0.5023 0.0295  3 O 1.71-1.74
Se: 0.2802 0.9977 0.5295  3 O 1.71-1.74
Se: 0.2944 0.2410 0.3506  3 O 1.71-1.76
Se: 0.2944 0.2590 0.8506  3 O 1.71-1.76
Se: 0.3682 0.7365 0.3454  3 Hg 2.50-2.56
Se: 0.3682 0.7635 0.8454  3 Hg 2.50-2.56
Se: 0.6318 0.2365 0.1546  3 Hg 2.50-2.56
Se: 0.6318 0.2635 0.6546  3 Hg 2.50-2.56
Se: 0.7056 0.7410 0.1494  3 O 1.71-1.76
Se: 0.7056 0.7590 0.6494  3 O 1.71-1.76
Se: 0.7198 0.0023 0.4705  3 O 1.71-1.74
Se: 0.7198 0.4977 0.9705  3 O 1.71-1.74
Se: 0.7511 0.5263 0.4971  3 O 1.71-1.78
Se: 0.7511 0.9737 0.9971  3 O 1.71-1.78
O: 0.0890 0.5473 0.3682  1 Se 1.78
O: 0.0890 0.9527 0.8682  1 Se 1.78
O: 0.0969 0.1882 0.7343  1 Se 1.76
O: 0.0969 0.3118 0.2343  1 Se 1.76
O: 0.1245 0.0414 0.3875  1 Se 1.73
O: 0.1245 0.4586 0.8875  1 Se 1.73
O: 0.1457 0.1746 0.9792  1 Se 1.73
O: 0.1457 0.3254 0.4792  1 Se 1.73
O: 0.2097 0.0760 0.5999  1 Se 1.74
O: 0.2097 0.4240 0.0999  1 Se 1.74
O: 0.2113 0.5600 0.5851  1 Se 1.71
O: 0.2113 0.9400 0.0851  1 Se 1.71
O: 0.2382 0.6628 0.0369  1 Se 1.71
O: 0.2382 0.8372 0.5369  1 Se 1.71
O: 0.3231 0.1234 0.2814  1 Se 1.71
O: 0.3231 0.3766 0.7814  1 Se 1.71
O: 0.4383 0.1386 0.8664  1 Se 1.76
O: 0.4383 0.3614 0.3664  1 Se 1.76
O: 0.5617 0.6386 0.6336  1 Se 1.76
O: 0.5617 0.8614 0.1336  1 Se 1.76
O: 0.6769 0.6234 0.2186  1 Se 1.71
O: 0.6769 0.8766 0.7186  1 Se 1.71
O: 0.7618 0.1628 0.4631  1 Se 1.71
O: 0.7618 0.3372 0.9631  1 Se 1.71
O: 0.7887 0.0600 0.9149  1 Se 1.71
O: 0.7887 0.4400 0.4149  1 Se 1.71
O: 0.7903 0.5760 0.9001  1 Se 1.74
O: 0.7903 0.9240 0.4001  1 Se 1.74
O: 0.8543 0.6746 0.5208  1 Se 1.73
O: 0.8543 0.8254 0.0208  1 Se 1.73
O: 0.8755 0.5414 0.1125  1 Se 1.73
O: 0.8755 0.9586 0.6125  1 Se 1.73
O: 0.9031 0.6882 0.7657  1 Se 1.76
O: 0.9031 0.8118 0.2657  1 Se 1.76
O: 0.9110 0.0473 0.1318  1 Se 1.78
O: 0.9110 0.4527 0.6318  1 Se 1.78

Calculated values
Its raw total energy is -277.46 eV/cell. As for the symmetry: P2_1/c, No. 14.

Hg2SeO3: optimized geometry, GGA-PBE.

abc: 9.8454 9.8454 5.0251
angles: 90.00 90.00 110.81
Last column: nearest neighbours and their distance in Å.
Sites, in units of the cell vectors:
Hg: 0.0296 0.2021 0.0000  2 O 2.29-2.53
Hg: 0.1266 0.6424 0.9828  1 O 2.27
Hg: 0.2021 0.0296 0.5000  2 O 2.29-2.53
Hg: 0.3576 0.8734 0.9828  1 O 2.27
Hg: 0.6424 0.1266 0.4828  1 O 2.27
Hg: 0.7979 0.9704 0.0000  2 O 2.29-2.53
Hg: 0.8734 0.3576 0.4828  1 O 2.27
Hg: 0.9704 0.7979 0.5000  2 O 2.29-2.53
Se: 0.2273 0.4324 0.4379  3 O 1.71-1.76
Se: 0.4324 0.2273 0.9379  3 O 1.71-1.76
Se: 0.5676 0.7727 0.4379  3 O 1.71-1.76
Se: 0.7727 0.5676 0.9379  3 O 1.71-1.76
O: 0.1039 0.5204 0.5051  1 Se 1.76
O: 0.1241 0.2593 0.5296  1 Se 1.71
O: 0.2132 0.4167 0.0928  1 Se 1.74
O: 0.2593 0.1241 0.0296  1 Se 1.71
O: 0.4167 0.2132 0.5928  1 Se 1.74
O: 0.4796 0.8961 0.5051  1 Se 1.76
O: 0.5204 0.1039 0.0051  1 Se 1.76
O: 0.5833 0.7868 0.0928  1 Se 1.74
O: 0.7407 0.8759 0.5296  1 Se 1.71
O: 0.7868 0.5833 0.5928  1 Se 1.74
O: 0.8759 0.7407 0.0296  1 Se 1.71
O: 0.8961 0.4796 0.0051  1 Se 1.76

Calculated values
Its raw total energy is -89.08 eV/cell. As for the symmetry: Cmc2_1, No. 36.

Hg3Se3O10: optimized geometry, GGA-PBE.

abc: 8.3333 5.3535 11.1313
angles: 90.00 108.57 90.00
Last column: nearest neighbours and their distance in Å.
Sites, in units of the cell vectors:
Hg: 0.0108 0.0000 0.3790  4 O 2.27-2.34
Hg: 0.0137 0.4906 0.1334  5 O 2.29-2.50
Hg: 0.3837 0.9741 0.1983  4 O 2.22-2.36
Hg: 0.6163 0.4741 0.8017  4 O 2.22-2.36
Hg: 0.9863 0.9906 0.8666  5 O 2.29-2.50
Hg: 0.9892 0.5000 0.6210  4 O 2.27-2.34
Se: 0.2630 0.4726 0.9579  3 O 1.74-1.75
Se: 0.2839 0.5243 0.4316  3 O 1.72-1.76
Se: 0.3462 0.9837 0.7147  4 O 1.66-1.71
Se: 0.6538 0.4837 0.2853  4 O 1.66-1.71
Se: 0.7161 0.0243 0.5684  3 O 1.72-1.76
Se: 0.7370 0.9726 0.0421  3 O 1.74-1.75
O: 0.0937 0.3672 0.8315  1 Se 1.74
O: 0.1251 0.6433 0.4876  1 Se 1.75
O: 0.1687 0.3049 0.3200  1 Se 1.76
O: 0.1699 0.7218 0.0138  1 Se 1.75
O: 0.2187 0.8071 0.7682  1 Se 1.67
O: 0.2303 0.2576 0.0651  1 Se 1.74
O: 0.2486 0.1811 0.6003  1 Se 1.66
O: 0.2702 0.7748 0.3322  1 Se 1.72
O: 0.4624 0.1526 0.8431  1 Se 1.71
O: 0.4769 0.7995 0.6650  1 Se 1.69
O: 0.5231 0.2995 0.3350  1 Se 1.69
O: 0.5376 0.6526 0.1569  1 Se 1.71
O: 0.7298 0.2748 0.6678  1 Se 1.72
O: 0.7514 0.6811 0.3997  1 Se 1.66
O: 0.7697 0.7576 0.9349  1 Se 1.74
O: 0.7813 0.3071 0.2318  1 Se 1.67
O: 0.8301 0.2218 0.9862  1 Se 1.75
O: 0.8313 0.8049 0.6800  1 Se 1.76
O: 0.8749 0.1433 0.5124  1 Se 1.75
O: 0.9063 0.8672 0.1685  1 Se 1.74

Calculated values
Its raw total energy is -139.91 eV/cell. As for the symmetry: P2_1, No. 4.

HgSeO3: optimized geometry, GGA-PBE.

abc: 4.3005 10.3246 7.1206
angles: 90.00 102.91 90.00
Last column: nearest neighbours and their distance in Å.
Sites, in units of the cell vectors:
Hg: 0.1006 0.1702 0.4014  2 O 2.12-2.15
Hg: 0.1006 0.3298 0.9014  2 O 2.12-2.15
Hg: 0.8994 0.6702 0.0986  2 O 2.12-2.15
Hg: 0.8994 0.8298 0.5986  2 O 2.12-2.15
Se: 0.3424 0.5805 0.6731  3 O 1.71-1.76
Se: 0.3424 0.9195 0.1731  3 O 1.71-1.76
Se: 0.6576 0.0805 0.8269  3 O 1.71-1.76
Se: 0.6576 0.4195 0.3269  3 O 1.71-1.76
O: 0.0046 0.6389 0.5106  1 Se 1.75
O: 0.0046 0.8611 0.0106  1 Se 1.75
O: 0.1713 0.5304 0.8630  1 Se 1.76
O: 0.1713 0.9696 0.3630  1 Se 1.76
O: 0.4927 0.7249 0.7697  1 Se 1.71
O: 0.4927 0.7751 0.2697  1 Se 1.71
O: 0.5073 0.2249 0.7303  1 Se 1.71
O: 0.5073 0.2751 0.2303  1 Se 1.71
O: 0.8287 0.0304 0.6370  1 Se 1.76
O: 0.8287 0.4696 0.1370  1 Se 1.76
O: 0.9954 0.1389 0.9894  1 Se 1.75
O: 0.9954 0.3611 0.4894  1 Se 1.75

Calculated values
Its raw total energy is -86.70 eV/cell. As for the symmetry: P2_1/c, No. 14.

Hg2SeO: optimized geometry, GGA-PBE.

abc: 6.2243 6.2310 11.1385
angles: 90.00 92.57 90.00
Last column: nearest neighbours and their distance in Å.
Sites, in units of the cell vectors:
Hg: 0.0014 0.0000 0.0555  4 O 2.30-2.31
Hg: 0.2045 0.2688 0.4994  2 Se 2.51-2.52
Hg: 0.4925 0.0028 0.9314  4 O 2.31-2.32
Hg: 0.4951 0.0205 0.2615  2 Se 2.50-2.51
Hg: 0.5049 0.5205 0.7385  2 Se 2.50-2.51
Hg: 0.5075 0.5028 0.0686  4 O 2.31-2.32
Hg: 0.7955 0.7688 0.5006  2 Se 2.51-2.52
Hg: 0.9986 0.5000 0.9445  4 O 2.30-2.31
Se: 0.2077 0.2996 0.2749  2 Hg 2.50-2.51
Se: 0.2152 0.2402 0.7251  2 Hg 2.51-2.52
Se: 0.7848 0.7402 0.2749  2 Hg 2.51-2.52
Se: 0.7923 0.7996 0.7251  2 Hg 2.50-2.51
O: 0.2532 0.2504 0.0043  4 Hg 2.30-2.32
O: 0.2549 0.7524 0.0013  4 Hg 2.31
O: 0.7451 0.2524 0.9987  4 Hg 2.31
O: 0.7468 0.7504 0.9957  4 Hg 2.30-2.32

Calculated values
Its raw total energy is -37.00 eV/cell. The calculation puts the energy above the most stable polymorph in this dataset at 32 kJ/mol of formula units. As for the symmetry: P2_1, No. 4.

HgSeO3: optimized geometry, GGA-PBE.

abc: 4.7379 9.0185 7.1519
angles: 90.00 91.82 90.00
Last column: nearest neighbours and their distance in Å.
Sites, in units of the cell vectors:
Hg: 0.2271 0.1750 0.4758  4 O 2.22-2.42
Hg: 0.2271 0.3250 0.9758  4 O 2.22-2.42
Hg: 0.7729 0.6750 0.0242  4 O 2.22-2.42
Hg: 0.7729 0.8250 0.5242  4 O 2.22-2.42
Se: 0.2502 0.5681 0.3241  3 O 1.73-1.75
Se: 0.2502 0.9319 0.8241  3 O 1.73-1.75
Se: 0.7498 0.0681 0.1759  3 O 1.73-1.75
Se: 0.7498 0.4319 0.6759  3 O 1.73-1.75
O: 0.1124 0.0878 0.1676  1 Se 1.73
O: 0.1124 0.4122 0.6676  1 Se 1.73
O: 0.2835 0.6340 0.0981  1 Se 1.73
O: 0.2835 0.8660 0.5981  1 Se 1.73
O: 0.2986 0.1201 0.7757  1 Se 1.75
O: 0.2986 0.3799 0.2757  1 Se 1.75
O: 0.7014 0.6201 0.7243  1 Se 1.75
O: 0.7014 0.8799 0.2243  1 Se 1.75
O: 0.7165 0.1340 0.4019  1 Se 1.73
O: 0.7165 0.3660 0.9019  1 Se 1.73
O: 0.8876 0.5878 0.3324  1 Se 1.73
O: 0.8876 0.9122 0.8324  1 Se 1.73

Calculated values
Its raw total energy is -86.63 eV/cell. As for the symmetry: P2_1/c, No. 14.

Hg2SeO: optimized geometry, GGA-PBE.

abc: 7.3214 7.3214 6.4480
angles: 90.00 90.00 149.31
Last column: nearest neighbours and their distance in Å.
Sites, in units of the cell vectors:
Hg: 0.0498 0.9502 0.5000  2 O 2.20-2.26
Hg: 0.3221 0.6779 0.4361  2 O 2.40
Hg: 0.6779 0.3221 0.9361  2 O 2.40
Hg: 0.9502 0.0498 0.0000  2 O 2.20-2.26
Se: 0.3239 0.6761 0.8571  5 Hg 2.72-2.87
Se: 0.6761 0.3239 0.3571  5 Hg 2.72-2.87
O: 0.0879 0.9121 0.8401  4 Hg 2.20-2.40
O: 0.9121 0.0879 0.3401  4 Hg 2.20-2.40

Calculated values
Its raw total energy is -19.14 eV/cell. The calculation puts the energy above the most stable polymorph in this dataset at 1 kJ/mol of formula units. As for the symmetry: Cmc2_1, No. 36.